1.
Here is crystalline Ti5Co2NiRh2 at its relaxed geometry from the Alexandria database. Energies are from PBE.

Geometry as CIF:
```
data_Ti5Co2NiRh2
_cell_length_a 9.9197
_cell_length_b 9.9197
_cell_length_c 2.9825
_cell_angle_alpha 90.00
_cell_angle_beta 90.00
_cell_angle_gamma 90.00
_space_group_name_H-M_alt 'P 4/m b m'
_space_group_IT_number 127
_space_group_name_Hall '-P 4 2ab'
loop_
_atom_site_label
_atom_site_type_symbol
_atom_site_fract_x
_atom_site_fract_y
_atom_site_fract_z
Ti1 Ti 0.0000 0.5000 0.0000
Ti2 Ti 0.1004 0.1853 0.0000
Co1 Co 0.1332 0.3668 0.5000
Ni1 Ni 0.0000 0.0000 0.5000
Rh1 Rh 0.1662 0.6662 0.5000
```

2.
Here is crystalline VCoNiRh at its relaxed geometry from the Alexandria database. Energies are from PBE.

Geometry as CIF:
```
data_VCoNiRh
_cell_length_a 5.8218
_cell_length_b 5.8218
_cell_length_c 5.8218
_cell_angle_alpha 90.00
_cell_angle_beta 90.00
_cell_angle_gamma 90.00
_space_group_name_H-M_alt 'F -4 3 m'
_space_group_IT_number 216
_space_group_name_Hall 'F -4 2 3'
loop_
_atom_site_label
_atom_site_type_symbol
_atom_site_fract_x
_atom_site_fract_y
_atom_site_fract_z
V1 V 0.0000 0.0000 0.0000
Co1 Co 0.2500 0.2500 0.7500
Ni1 Ni 0.0000 0.0000 0.5000
Rh1 Rh 0.2500 0.2500 0.2500
```

3.
Here is crystalline V2CoNiRh2 at its relaxed geometry from the Alexandria database. Energies are from PBE.

Geometry as CIF:
```
data_V2CoNiRh2
_cell_length_a 4.9951
_cell_length_b 12.8936
_cell_length_c 4.9020
_cell_angle_alpha 90.00
_cell_angle_beta 90.00
_cell_angle_gamma 90.00
_space_group_name_H-M_alt 'I b a m'
_space_group_IT_number 72
_space_group_name_Hall '-I 2 2c'
loop_
_atom_site_label
_atom_site_type_symbol
_atom_site_fract_x
_atom_site_fract_y
_atom_site_fract_z
V1 V 0.2117 0.1285 0.0000
Co1 Co 0.0000 0.0000 0.2500
Ni1 Ni 0.0000 0.5000 0.2500
Rh1 Rh 0.1944 0.3201 0.0000
```

4.
Here is crystalline VCoNiRh at its relaxed geometry from the Alexandria database. Energies are from PBE.

Geometry as CIF:
```
data_VCoNiRh
_cell_length_a 3.5770
_cell_length_b 3.6797
_cell_length_c 3.6858
_cell_angle_alpha 90.00
_cell_angle_beta 90.00
_cell_angle_gamma 90.00
_space_group_name_H-M_alt 'P m m m'
_space_group_IT_number 47
loop_
_space_group_symop_operation_xyz
'x,y,z'
'-x,-y,-z'
'-x,-y,z'
'x,y,-z'
'x,-y,-z'
'-x,y,z'
'-x,y,-z'
'x,-y,z'
loop_
_atom_site_label
_atom_site_type_symbol
_atom_site_fract_x
_atom_site_fract_y
_atom_site_fract_z
V1 V 0.0000 0.0000 0.0000
Co1 Co 0.5000 0.0000 0.5000
Ni1 Ni 0.0000 0.5000 0.5000
Rh1 Rh 0.5000 0.5000 0.0000
```

5.
Here is crystalline ZnCoNiRh at its relaxed geometry from the Alexandria database. Energies are from PBE.

Geometry as CIF:
```
data_ZnCoNiRh
_cell_length_a 5.8684
_cell_length_b 5.8684
_cell_length_c 5.8684
_cell_angle_alpha 90.00
_cell_angle_beta 90.00
_cell_angle_gamma 90.00
_space_group_name_H-M_alt 'F -4 3 m'
_space_group_IT_number 216
_space_group_name_Hall 'F -4 2 3'
loop_
_atom_site_label
_atom_site_type_symbol
_atom_site_fract_x
_atom_site_fract_y
_atom_site_fract_z
Zn1 Zn 0.0000 0.0000 0.0000
Co1 Co 0.0000 0.0000 0.5000
Ni1 Ni 0.2500 0.2500 0.2500
Rh1 Rh 0.2500 0.2500 0.7500
```

6.
Here is crystalline ZrCoNiRh at its relaxed geometry from the Alexandria database. Energies are from PBE.

Geometry as CIF:
```
data_ZrCoNiRh
_cell_length_a 6.1227
_cell_length_b 6.1227
_cell_length_c 6.1227
_cell_angle_alpha 90.00
_cell_angle_beta 90.00
_cell_angle_gamma 90.00
_space_group_name_H-M_alt 'F -4 3 m'
_space_group_IT_number 216
_space_group_name_Hall 'F -4 2 3'
loop_
_atom_site_label
_atom_site_type_symbol
_atom_site_fract_x
_atom_site_fract_y
_atom_site_fract_z
Zr1 Zr 0.0000 0.0000 0.0000
Co1 Co 0.2500 0.2500 0.7500
Ni1 Ni 0.2500 0.2500 0.2500
Rh1 Rh 0.0000 0.0000 0.5000
```

7.
Here is crystalline CoNi2Ru at its relaxed geometry from the Alexandria database. Energies are from PBE.

Geometry as CIF:
```
data_CoNi2Ru
_cell_length_a 2.5804
_cell_length_b 2.5804
_cell_length_c 24.7584
_cell_angle_alpha 90.00
_cell_angle_beta 90.00
_cell_angle_gamma 120.00
_space_group_name_H-M_alt 'R 3 m'
_space_group_IT_number 160
_space_group_name_Hall 'R 3 -2"'
loop_
_atom_site_label
_atom_site_type_symbol
_atom_site_fract_x
_atom_site_fract_y
_atom_site_fract_z
Co1 Co 0.0000 0.0000 0.0000
Ni1 Ni 0.0000 0.0000 0.4148
Ni2 Ni 0.0000 0.0000 0.5859
Ru1 Ru 0.0000 0.0000 0.8337
```

8.
Here is crystalline Co2Ni2Ru at its relaxed geometry from the Alexandria database. Energies are from PBE.

Geometry as CIF:
```
data_Co2Ni2Ru
_cell_length_a 6.8255
_cell_length_b 6.8255
_cell_length_c 2.5367
_cell_angle_alpha 90.00
_cell_angle_beta 90.00
_cell_angle_gamma 90.00
_space_group_name_H-M_alt 'P 4/m b m'
_space_group_IT_number 127
_space_group_name_Hall '-P 4 2ab'
loop_
_atom_site_label
_atom_site_type_symbol
_atom_site_fract_x
_atom_site_fract_y
_atom_site_fract_z
Co1 Co 0.1742 0.3258 0.0000
Ni1 Ni 0.1231 0.6231 0.5000
Ru1 Ru 0.0000 0.0000 0.5000
```

9.
Here is crystalline CoNiRu2 at its relaxed geometry from the Alexandria database. Energies are from PBE.

Geometry as CIF:
```
data_CoNiRu2
_cell_length_a 8.5356
_cell_length_b 2.6208
_cell_length_c 4.5711
_cell_angle_alpha 90.00
_cell_angle_beta 100.07
_cell_angle_gamma 90.00
_space_group_name_H-M_alt 'C 1 2/m 1'
_space_group_IT_number 12
loop_
_space_group_symop_operation_xyz
'x,y,z'
'-x,-y,-z'
'-x,y,-z'
'x,-y,z'
'x+1/2,y+1/2,z'
'-x+1/2,-y+1/2,-z'
'-x+1/2,y+1/2,-z'
'x+1/2,-y+1/2,z'
loop_
_atom_site_label
_atom_site_type_symbol
_atom_site_fract_x
_atom_site_fract_y
_atom_site_fract_z
Co1 Co 0.0000 0.0000 0.0000
Ni1 Ni 0.0000 0.5000 0.5000
Ru1 Ru 0.2476 0.5000 0.2482
```

10.
Here is crystalline CoNiRu2 at its relaxed geometry from the Alexandria database. Energies are from PBE.

Geometry as CIF:
```
data_CoNiRu2
_cell_length_a 8.6771
_cell_length_b 2.6265
_cell_length_c 4.4468
_cell_angle_alpha 90.00
_cell_angle_beta 100.23
_cell_angle_gamma 90.00
_space_group_name_H-M_alt 'C 1 m 1'
_space_group_IT_number 8
loop_
_space_group_symop_operation_xyz
'x,y,z'
'x,-y,z'
'x+1/2,y+1/2,z'
'x+1/2,-y+1/2,z'
loop_
_atom_site_label
_atom_site_type_symbol
_atom_site_fract_x
_atom_site_fract_y
_atom_site_fract_z
Co1 Co 0.0000 0.0000 0.0000
Ni1 Ni 0.2477 0.5000 0.2324
Ru1 Ru 0.9997 0.5000 0.4936
Ru2 Ru 0.2522 0.0000 0.7416
```

11.
Here is crystalline Co2NiRu at its relaxed geometry from the Alexandria database. Energies are from PBE.

Geometry as CIF:
```
data_Co2NiRu
_cell_length_a 8.4544
_cell_length_b 2.5401
_cell_length_c 4.4389
_cell_angle_alpha 90.00
_cell_angle_beta 100.02
_cell_angle_gamma 90.00
_space_group_name_H-M_alt 'C 1 m 1'
_space_group_IT_number 8
loop_
_space_group_symop_operation_xyz
'x,y,z'
'x,-y,z'
'x+1/2,y+1/2,z'
'x+1/2,-y+1/2,z'
loop_
_atom_site_label
_atom_site_type_symbol
_atom_site_fract_x
_atom_site_fract_y
_atom_site_fract_z
Co1 Co 0.0000 0.0000 0.0000
Co2 Co 0.2451 0.5000 0.2401
Ni1 Ni 0.2494 0.0000 0.7553
Ru1 Ru 0.4956 0.0000 0.4955
```

12.
Here is crystalline Co2NiRu at its relaxed geometry from the Alexandria database. Energies are from PBE.

Geometry as CIF:
```
data_Co2NiRu
_cell_length_a 3.6041
_cell_length_b 3.6041
_cell_length_c 7.1017
_cell_angle_alpha 90.00
_cell_angle_beta 90.00
_cell_angle_gamma 90.00
_space_group_name_H-M_alt 'I 4/m m m'
_space_group_IT_number 139
_space_group_name_Hall '-I 4 2'
loop_
_atom_site_label
_atom_site_type_symbol
_atom_site_fract_x
_atom_site_fract_y
_atom_site_fract_z
Co1 Co 0.0000 0.5000 0.2500
Ni1 Ni 0.0000 0.0000 0.0000
Ru1 Ru 0.0000 0.0000 0.5000
```

Let's list uncorrected energy in order: -7.7376, -7.4323, -7.7751, -7.5927, -5.4264, -7.4208, -6.8541, -6.7819, -7.6769, -7.7291, -7.1871, -7.1804 eV/atom.